DFT (PBE) results for a relaxed KBe3As2 crystal.

a = 3.7074 Å, b = 7.5730 Å, c = 8.8135 Å
α = 112.94°, β = 90.00°, γ = 104.17°
Last column: nearest neighbours and their distance in Å.
Positions (direct):
K 0.8707 0.7414 0.9517  5 As 3.24-3.52, 3 Be 3.46-3.53, 1 K 3.54
K 0.1293 0.2586 0.0483  5 As 3.24-3.52, 3 Be 3.46-3.53, 1 K 3.54
Be 0.2859 0.5718 0.5895  5 Be 2.18-2.39, 2 As 2.29
Be 0.8744 0.7488 0.5534  3 Be 2.18-2.36, 3 As 2.24-2.29
Be 0.5867 0.1735 0.6012  4 As 2.30-2.43, 3 Be 2.45-2.50
Be 0.4133 0.8265 0.3988  4 As 2.30-2.43, 3 Be 2.45-2.50
Be 0.1256 0.2512 0.4466  3 Be 2.18-2.36, 3 As 2.24-2.29
Be 0.7141 0.4282 0.4105  5 Be 2.18-2.39, 2 As 2.29
As 0.4563 0.9127 0.6957  5 Be 2.29-2.43
As 0.5437 0.0873 0.3043  5 Be 2.29-2.43
As 0.8197 0.6394 0.2768  4 Be 2.24-2.30
As 0.1803 0.3606 0.7232  4 Be 2.24-2.30

Magnetic moment   0.00 μB per formula unit
Volume   18.31 Å³/atom
Calculated formation energy   -1.15 eV per formula unit

DFT (PBE) results for a relaxed KBeAs2 crystal.

a = 5.8875 Å, b = 5.8875 Å, c = 5.8875 Å
α = 144.14°, β = 120.21°, γ = 71.72°
Last column: nearest neighbours and their distance in Å.
Positions (direct):
Be 0.5940 0.5940 0.0000  2 As 2.20
As 0.9263 0.9263 0.0000  2 As 2.64
As 0.7245 0.2245 0.5000  2 Be 2.20
K 0.2552 0.7552 0.5000  4 Be 3.31-3.71, 8 As 3.36-3.62, 2 K 3.62

Magnetic moment   0.00 μB per formula unit
Volume   25.38 Å³/atom
Calculated formation energy   1.47 eV per formula unit

DFT (PBE) results for a relaxed K4BeAs crystal.

a = 6.8572 Å, b = 6.8572 Å, c = 6.8572 Å
α = 60.00°, β = 60.00°, γ = 60.00°
Last column: nearest neighbours and their distance in Å.
Positions (direct):
K 0.8713 0.3762 0.3762  6 K 3.39-3.46
K 0.3762 0.3762 0.8713  6 K 3.39-3.46
K 0.3762 0.8713 0.3762  6 K 3.39-3.46
K 0.3762 0.3762 0.3762  6 K 3.39-3.46
Be 0.0000 0.0000 0.0000  12 K 4.02, 4 As 4.20
As 0.7500 0.7500 0.7500  12 K 4.02, 4 Be 4.20

Magnetic moment   0.00 μB per formula unit
Volume   38.00 Å³/atom
Calculated formation energy   4.13 eV per formula unit

DFT (PBE) results for a relaxed K2BeAs crystal.

a = 3.5078 Å, b = 3.5799 Å, c = 9.9523 Å
α = 90.00°, β = 90.00°, γ = 90.00°
Last column: nearest neighbours and their distance in Å.
Positions (direct):
Be 0.5000 0.5000 0.6343  4 As 2.52
As 0.0000 0.0000 0.6051  4 Be 2.52
K 0.0000 0.0000 0.9256  1 As 3.19, 2 K 3.51
K 0.5000 0.5000 0.3351  1 Be 2.98

Magnetic moment   0.00 μB per formula unit
Volume   31.24 Å³/atom
Calculated formation energy   0.86 eV per formula unit

DFT (PBE) results for a relaxed KBe2As crystal.

a = 4.3882 Å, b = 4.3882 Å, c = 5.9238 Å
α = 81.19°, β = 81.19°, γ = 51.68°
Last column: nearest neighbours and their distance in Å.
Positions (direct):
Be 0.9499 0.9499 0.2269  2 Be 2.11
Be 0.5501 0.5501 0.2731  2 Be 2.11
As 0.2500 0.2500 0.2500  6 Be 2.40-2.47
K 0.7500 0.7500 0.7500  4 Be 3.23-3.46, 4 As 3.53

Magnetic moment   0.00 μB per formula unit
Volume   22.05 Å³/atom
Calculated formation energy   1.16 eV per formula unit

DFT (PBE) results for a relaxed KBeAs2 crystal.

a = 3.4268 Å, b = 3.4266 Å, c = 7.0270 Å
α = 90.00°, β = 90.00°, γ = 90.00°
Last column: nearest neighbours and their distance in Å.
Positions (direct):
Be 0.5000 0.5000 0.2500  8 As 2.69
As 0.0000 0.0000 0.0821  1 As 2.36
As 0.0000 0.0000 0.4179  1 As 2.36
K 0.5000 0.5000 0.7500  8 As 3.36, 4 K 3.43, 2 Be 3.51

Magnetic moment   0.00 μB per formula unit
Volume   20.63 Å³/atom
Calculated formation energy   0.36 eV per formula unit

DFT (PBE) results for a relaxed KBe3As3 crystal.

a = 6.4518 Å, b = 6.4518 Å, c = 6.4518 Å
α = 90.00°, β = 90.00°, γ = 90.00°
Last column: nearest neighbours and their distance in Å.
Positions (direct):
Be 0.2500 0.0000 0.5000  4 As 2.28
Be 0.0000 0.5000 0.2500  4 As 2.28
Be 0.5000 0.7500 0.0000  4 As 2.28
Be 0.7500 0.0000 0.5000  4 As 2.28
Be 0.0000 0.5000 0.7500  4 As 2.28
Be 0.5000 0.2500 0.0000  4 As 2.28
As 0.0000 0.2500 0.5000  4 Be 2.28
As 0.0000 0.7500 0.5000  4 Be 2.28
As 0.5000 0.0000 0.7500  4 Be 2.28
As 0.7500 0.5000 0.0000  4 Be 2.28
As 0.5000 0.0000 0.2500  4 Be 2.28
As 0.2500 0.5000 0.0000  4 Be 2.28
K 0.5000 0.5000 0.5000  12 Be 3.61, 12 As 3.61
K 0.0000 0.0000 0.0000  12 Be 3.61, 12 As 3.61

Magnetic moment   0.00 μB per formula unit
Volume   19.18 Å³/atom
Calculated formation energy   -1.09 eV per formula unit

DFT (PBE) results for a relaxed K2BeAs crystal.

a = 5.5112 Å, b = 5.5112 Å, c = 5.5112 Å
α = 60.00°, β = 60.00°, γ = 60.00°
Last column: nearest neighbours and their distance in Å.
Positions (direct):
Be 0.0000 0.0000 0.0000  8 K 3.37
As 0.5000 0.5000 0.5000  8 K 3.37
K 0.2500 0.2500 0.2500  4 As 3.37, 4 Be 3.37
K 0.7500 0.7500 0.7500  4 As 3.37, 4 Be 3.37

Magnetic moment   0.00 μB per formula unit
Volume   29.59 Å³/atom
Calculated formation energy   2.08 eV per formula unit

DFT (PBE) results for a relaxed KBe2As crystal.

a = 3.7080 Å, b = 3.7080 Å, c = 6.9065 Å
α = 74.42°, β = 74.42°, γ = 59.99°
Last column: nearest neighbours and their distance in Å.
Positions (direct):
Be 0.0210 0.0210 0.9371  3 Be 2.14
Be 0.6892 0.6892 0.9325  3 Be 2.14
As 0.2972 0.2972 0.1087  6 Be 2.42-2.43
K 0.4926 0.4926 0.5218  6 Be 3.44-3.47, 4 As 3.46-3.85, 6 K 3.71

Magnetic moment   0.00 μB per formula unit
Volume   19.54 Å³/atom
Calculated formation energy   0.42 eV per formula unit

DFT (PBE) results for a relaxed KBe4As3 crystal.

a = 3.7733 Å, b = 3.7733 Å, c = 9.9265 Å
α = 90.00°, β = 90.00°, γ = 90.00°
Last column: nearest neighbours and their distance in Å.
Positions (direct):
Be 0.0000 0.5000 0.1485  4 As 2.26-2.39
Be 0.0000 0.5000 0.8515  4 As 2.26-2.39
Be 0.5000 0.0000 0.8515  4 As 2.26-2.39
Be 0.5000 0.0000 0.1485  4 As 2.26-2.39
K 0.0000 0.0000 0.5000  8 As 3.48, 4 K 3.77
As 0.0000 0.0000 0.0000  8 Be 2.39
As 0.5000 0.5000 0.2746  4 Be 2.26
As 0.5000 0.5000 0.7254  4 Be 2.26

Magnetic moment   0.00 μB per formula unit
Volume   17.67 Å³/atom
Calculated formation energy   -2.05 eV per formula unit

DFT (PBE) results for a relaxed KBe3As crystal.

a = 4.6527 Å, b = 4.6527 Å, c = 4.6527 Å
α = 90.00°, β = 90.00°, γ = 90.00°
Last column: nearest neighbours and their distance in Å.
Positions (direct):
Be 0.0000 0.5000 0.0000  2 As 2.33
Be 0.0000 0.0000 0.5000  2 As 2.33
Be 0.5000 0.0000 0.0000  2 As 2.33
As 0.0000 0.0000 0.0000  6 Be 2.33
K 0.5000 0.5000 0.5000  12 Be 3.29

Magnetic moment   0.00 μB per formula unit
Volume   20.14 Å³/atom
Calculated formation energy   4.88 eV per formula unit

DFT (PBE) results for a relaxed KBeAs2 crystal.

a = 4.4018 Å, b = 4.4097 Å, c = 4.2340 Å
α = 90.00°, β = 90.00°, γ = 90.00°
Last column: nearest neighbours and their distance in Å.
Positions (direct):
Be 0.5000 0.0000 0.5000  8 As 3.05-3.06, 4 K 3.12
As 0.0000 0.0000 0.0000  4 Be 3.05, 4 K 3.06, 4 As 3.12
As 0.5000 0.5000 0.0000  4 K 3.05, 4 Be 3.06, 4 As 3.12
K 0.0000 0.5000 0.5000  8 As 3.05-3.06, 4 Be 3.12

Magnetic moment   0.00 μB per formula unit
Volume   20.55 Å³/atom
Calculated formation energy   2.21 eV per formula unit